1.
4
Lattice="-4.9985 0.0232 1.5793 -1.2729 -1.9422 4.6997 -1.5192 3.2238 3.8443" Properties=species:S:1:pos:R:3 comment="CeScHgSb PBE optimized geometry" e_form_raw_mev_per_atom=-526 e_tot_ev_per_atom=-4.70 total_magnetization_mub_per_fu=1.8 n_ef_per_ev_cell=9.67 pbc="T T T"
Ce -3.8953 0.6524 5.0617
Sb -5.8429 0.9786 7.5925
Hg -1.9476 0.3262 2.5308
Sc 0.0000 0.0000 0.0000

2.
4
Lattice="-0.6027 -0.9584 5.2851 4.3339 -0.9589 3.0842 1.6121 3.6806 3.6151" Properties=species:S:1:pos:R:3 comment="CeSmHgSb PBE optimized geometry" e_form_raw_mev_per_atom=-610 e_tot_ev_per_atom=-4.38 total_magnetization_mub_per_fu=1.7 n_ef_per_ev_cell=9.51 pbc="T T T"
Sm 0.0000 0.0000 0.0000
Ce 2.6717 0.8817 5.9922
Sb 4.0075 1.3225 8.9883
Hg 1.3358 0.4408 2.9961